DFT (meta-GGA SCAN) results for a crystal of Na2ScAlBi relaxed with PBEsol.

Results
The total energy is -21.44 eV/atom. The space group is P4/mmm (123).

Unit cell a=5.596 b=5.596 c=5.553 alpha=90.00 beta=90.00 gamma=90.00
Atoms (fractional coordinates):
Na: 0.000 0.500 0.000
Na: 0.500 0.000 0.000
Sc: 0.000 0.000 0.500
Al: 0.500 0.500 0.500
Bi: 0.000 0.000 0.000

DFT (meta-GGA SCAN) results for a crystal of NaScAlBi2 relaxed with PBEsol.

Results
The total energy is -36.20 eV/atom. The space group is P4/mmm (123).

Unit cell a=5.484 b=5.484 c=5.778 alpha=90.00 beta=90.00 gamma=90.00
Atoms (fractional coordinates):
Na: 0.000 0.000 0.000
Sc: 0.000 0.000 0.500
Al: 0.500 0.500 0.000
Bi: 0.000 0.500 0.500
Bi: 0.500 0.000 0.500

Number 1: formation energy from the elements 364 meV/atom, magnetization 0.0 μB per cell. Number 2: formation energy from the elements 471 meV/atom, magnetization 0.5 μB per cell.